An optimized crystal structure of MoPtSeF2. Source: Alexandria via LeMat-Bulk, functional PBE+U.

Properties
- magnetization (μB/f.u.) = 3.6
- DFT total energy (eV/cell) = -22.2

```
MoPtSeF2
1.0
4.0163 0.0000 0.0000
0.0000 4.0163 0.0000
0.0000 0.0000 5.8957
Mo Pt Se F
1 1 1 2
Cartesian
0.0000 0.0000 0.0000
0.0000 0.0000 2.9478
2.0082 2.0082 0.0000
0.0000 2.0082 2.9478
2.0082 0.0000 2.9478
```